--- 1 ---
First-principles (PBE-GGA) data for a relaxed structure of Zr2ScCl, as listed in the Alexandria database.

Cell lengths 4.0580, 4.0580, 10.7844 Å; angles 90.00, 90.00, 90.00 degrees
Closest atoms and distances in Å follow each position.
Space group I4/mmm (No. 139)
One atom of each set of equivalent atoms:
1 Zr 0.0000 0.5000 0.2500 x4  4 Zr 2.87
2 Sc 0.0000 0.0000 0.0000 x2  4 Cl 2.87
3 Cl 0.0000 0.0000 0.5000 x2  4 Sc 2.87


--- 2 ---
First-principles (PBE-GGA) data for a relaxed structure of Zr2ScCl, as listed in the Alexandria database.

Cell lengths 3.2142, 5.1039, 5.5107 Å; angles 90.00, 90.00, 90.00 degrees
Closest atoms and distances in Å follow each position.
Space group Pmmm (No. 47)
One atom of each set of equivalent atoms:
1 Zr 0.0000 0.0000 0.2366 x2  2 Zr 2.61-2.90
2 Sc 0.5000 0.5000 0.0000 x1  2 Cl 2.76
3 Cl 0.5000 0.5000 0.5000 x1  2 Sc 2.76


Stability comparison, relative energies in meV/atom: 1 133; 2 0


--- 1 ---
First-principles (PBE-GGA) data for a relaxed structure of Zr2ScCl, as listed in the Alexandria database.

Cell lengths 4.2862, 4.2862, 9.5482 Å; angles 90.00, 90.00, 90.00 degrees
Closest atoms and distances in Å follow each position.
Space group I-4m2 (No. 119)
One atom of each set of equivalent atoms:
1 Zr 0.0000 0.0000 0.0000 x2  4 Sc 3.03, 4 Zr 3.21, 4 Cl 3.21
2 Zr 0.0000 0.5000 0.2500 x2  4 Cl 3.03, 4 Zr 3.21, 4 Sc 3.21
3 Sc 0.0000 0.0000 0.5000 x2  8 Zr 3.03-3.21, 4 Cl 3.21
4 Cl 0.0000 0.5000 0.7500 x2  8 Zr 3.03-3.21, 4 Sc 3.21


--- 2 ---
First-principles (PBE-GGA) data for a relaxed structure of Zr2ScCl, as listed in the Alexandria database.

Cell lengths 3.3283, 3.3283, 27.3484 Å; angles 90.00, 90.00, 120.00 degrees
Closest atoms and distances in Å follow each position.
Space group R3m (No. 160, hexagonal axes)
One atom of each set of equivalent atoms:
1 Zr 0.0000 0.0000 0.0000 x3  3 Cl 2.82, 3 Zr 3.14
2 Zr 0.0000 0.0000 0.2424 x3  3 Sc 3.12, 9 Zr 3.14-3.33
3 Sc 0.0000 0.0000 0.4860 x3  3 Cl 2.86, 3 Zr 3.12
4 Cl 0.0000 0.0000 0.7421 x3  3 Zr 2.82, 3 Sc 2.86


Stability comparison, relative energies in meV/atom: 1 632; 2 0


--- 1 ---
First-principles (PBE-GGA) data for a relaxed structure of Zr2ScCl, as listed in the Alexandria database.

Cell lengths 5.9565, 10.9886, 3.2032 Å; angles 90.00, 122.33, 90.00 degrees
Closest atoms and distances in Å follow each position.
Space group C2/m (No. 12)
One atom of each set of equivalent atoms:
1 Zr 0.2500 0.2500 0.0000 x4  6 Zr 2.98-3.20, 2 Cl 3.12, 2 Sc 3.12
2 Sc 0.0000 0.0000 0.0000 x2  4 Cl 2.98-2.99, 4 Zr 3.12, 2 Sc 3.20
3 Cl 0.0000 0.5000 0.0000 x2  4 Sc 2.98-2.99, 4 Zr 3.12, 2 Cl 3.20


--- 2 ---
First-principles (PBE-GGA) data for a relaxed structure of Zr2ScCl, as listed in the Alexandria database.

Cell lengths 4.0513, 4.0513, 5.3839 Å; angles 90.00, 90.00, 90.00 degrees
Closest atoms and distances in Å follow each position.
Space group P4/mmm (No. 123)
One atom of each set of equivalent atoms:
1 Zr 0.0000 0.5000 0.0000 x2  4 Zr 2.86
2 Sc 0.0000 0.0000 0.5000 x1  4 Cl 2.86
3 Cl 0.5000 0.5000 0.5000 x1  4 Sc 2.86


Stability comparison, relative energies in meV/atom: 1 0; 2 155